Record 1
## InCuSi2 (meta-GGA SCAN)

Data for a crystal of InCuSi2 relaxed with PBEsol.

Lattice parameters (Å, degrees): 3.7234 3.7234 17.6491 90.00 90.00 120.00
Space group R3m (No. 160, hexagonal axes)
Asymmetric unit:
1 In 0.0000 0.0000 0.0000
2 Cu 0.0000 0.0000 0.2393
3 Si 0.0000 0.0000 0.5121
4 Si 0.0000 0.0000 0.7834

Calculated values
Formation energy (no corrections) ... 308.1 meV/atom
Calculated total energy ... -202.2 eV per cell
Crystal system ... trigonal

---

Record 2
## InCu2Si (meta-GGA SCAN)

Data for a crystal of InCu2Si relaxed with PBEsol.

Lattice parameters (Å, degrees): 2.7086 3.6254 6.0134 90.00 90.00 90.00
Space group Pmmm (No. 47)
Asymmetric unit:
1 In 0.0000 0.0000 0.0000
2 Cu 0.5000 0.5000 0.2934
3 Si 0.0000 0.0000 0.5000

Calculated values
Formation energy (no corrections) ... 224.3 meV/atom
Calculated total energy ... -72.9 eV per cell
Crystal system ... orthorhombic